Compound: CsBeFeTe3
Source: the Open Quantum Materials Database
Functional: PBE
Structure: optimized geometry

The raw total energy comes out at -4.0314 eV/atom.

Lattice parameters (Å, degrees): 4.0037 16.8651 10.7601 90.00 90.00 90.00
Closest atoms and distances in Å follow each position.
Space group Cmcm (No. 63)
Inequivalent atoms, fractional coordinates:
Cs 0.0000 0.2497 0.2500 x4  8 Te 3.85-4.09, 2 Cs 4.00, 2 Be 4.21
Be 0.0000 0.0305 0.7500 x4  4 Te 2.46
Fe 0.0000 0.5000 0.0000 x4  6 Te 2.68-2.84
Te 0.0000 0.1003 0.5496 x8  1 Be 2.46, 2 Fe 2.68
Te 0.0000 0.4454 0.7500 x4  2 Be 2.46

Compound: CsGdBe
Source: the Open Quantum Materials Database
Functional: PBE
Structure: optimized geometry

The raw total energy comes out at -1.4943 eV/atom.

Lattice parameters (Å, degrees): 7.1548 7.1548 7.1548 90.00 90.00 90.00
Closest atoms and distances in Å follow each position.
Space group F-43m (No. 216)
Inequivalent atoms, fractional coordinates:
Cs 0.0000 0.0000 0.0000 x4  4 Gd 3.10, 4 Be 3.10
Gd 0.2500 0.2500 0.2500 x4  4 Cs 3.10
Be 0.2500 0.2500 0.7500 x4  4 Cs 3.10

Compound: CsHfBe
Source: the Open Quantum Materials Database
Functional: PBE
Structure: optimized geometry

The value obtained for the energy above the most stable polymorph in this dataset is 1.543 eV per formula unit.

Lattice parameters (Å, degrees): 6.8309 6.8309 6.8309 90.00 90.00 90.00
Closest atoms and distances in Å follow each position.
Space group F-43m (No. 216)
Inequivalent atoms, fractional coordinates:
Cs 0.0000 0.0000 0.0000 x4  4 Hf 2.96, 4 Be 2.96
Hf 0.2500 0.2500 0.2500 x4  4 Cs 2.96
Be 0.2500 0.2500 0.7500 x4  4 Cs 2.96

Compound: CsHfBe
Source: the Open Quantum Materials Database
Functional: PBE
Structure: optimized geometry

The value obtained for the energy above the most stable polymorph in this dataset is 0.000 eV per formula unit.

Lattice parameters (Å, degrees): 7.0570 7.0570 7.0570 90.00 90.00 90.00
Closest atoms and distances in Å follow each position.
Space group F-43m (No. 216)
Inequivalent atoms, fractional coordinates:
Cs 0.0000 0.0000 0.0000 x4  4 Be 3.06
Hf 0.0000 0.0000 0.5000 x4  4 Be 3.06
Be 0.2500 0.2500 0.2500 x4  4 Hf 3.06, 4 Cs 3.06

Compound: CsHoBeS3
Source: the Open Quantum Materials Database
Functional: PBE
Structure: optimized geometry

The raw total energy comes out at -5.1686 eV/atom.

Lattice parameters (Å, degrees): 3.8879 15.5214 10.4032 90.00 90.00 90.00
Closest atoms and distances in Å follow each position.
Space group Cmcm (No. 63)
Inequivalent atoms, fractional coordinates:
Cs 0.0000 0.2386 0.2500 x4  6 S 3.54-3.58, 2 Cs 3.89, 2 Be 3.95
Ho 0.0000 0.5000 0.0000 x4  6 S 2.69-2.71
Be 0.0000 0.0397 0.7500 x4  2 S 2.09
S 0.0000 0.1097 0.5786 x8  1 Be 2.09
S 0.0000 0.4548 0.7500 x4  2 Be 2.35

Compound: CsBeIr
Source: the Open Quantum Materials Database
Functional: PBE
Structure: optimized geometry

The value obtained for the energy above the most stable polymorph in this dataset is 0.000 eV per formula unit.

Lattice parameters (Å, degrees): 6.5770 6.5770 6.5770 90.00 90.00 90.00
Closest atoms and distances in Å follow each position.
Space group F-43m (No. 216)
Inequivalent atoms, fractional coordinates:
Cs 0.0000 0.0000 0.0000 x4  4 Ir 2.85
Be 0.0000 0.0000 0.5000 x4  4 Ir 2.85
Ir 0.2500 0.2500 0.7500 x4  4 Be 2.85, 4 Cs 2.85

Compound: CsBeMoIr
Source: the Open Quantum Materials Database
Functional: PBE
Structure: optimized geometry

The value obtained for the energy above the most stable polymorph in this dataset is 1.011 eV per formula unit.

Lattice parameters (Å, degrees): 6.5144 6.5144 6.5144 90.00 90.00 90.00
Closest atoms and distances in Å follow each position.
Space group F-43m (No. 216)
Inequivalent atoms, fractional coordinates:
Cs 0.0000 0.0000 0.0000 x4  4 Mo 2.82, 4 Ir 2.82
Be 0.0000 0.0000 0.5000 x4  4 Mo 2.82, 4 Ir 2.82
Mo 0.2500 0.2500 0.2500 x4  4 Be 2.82, 4 Cs 2.82
Ir 0.2500 0.2500 0.7500 x4  4 Cs 2.82, 4 Be 2.82

Compound: CsBeMoIr
Source: the Open Quantum Materials Database
Functional: PBE
Structure: optimized geometry

The value obtained for the energy above the most stable polymorph in this dataset is 1.107 eV per formula unit.

Lattice parameters (Å, degrees): 6.8379 6.8379 6.8379 90.00 90.00 90.00
Closest atoms and distances in Å follow each position.
Space group F-43m (No. 216)
Inequivalent atoms, fractional coordinates:
Cs 0.0000 0.0000 0.0000 x4  4 Be 2.96, 4 Ir 2.96
Be 0.2500 0.2500 0.7500 x4  4 Mo 2.96, 4 Cs 2.96
Mo 0.0000 0.0000 0.5000 x4  4 Be 2.96, 4 Ir 2.96
Ir 0.2500 0.2500 0.2500 x4  4 Mo 2.96, 4 Cs 2.96